1.
Density functional theory data (GGA-PBE) for a geometry-optimized K2Na2Cr structure.

a b c (Å): 10.1281 10.1281 4.3902
angles (deg): 90.00 90.00 90.00
With the nearest neighbours (Å) after each atom.
Atoms (fractional coordinates):
K  0.1673  0.3327  0.0000  6 Na 3.58-3.78, 2 Cr 3.77
K  0.3327  0.8327  0.0000  6 Na 3.58-3.78, 2 Cr 3.77
K  0.6673  0.1673  0.0000  6 Na 3.58-3.78, 2 Cr 3.77
K  0.8327  0.6673  0.0000  6 Na 3.58-3.78, 2 Cr 3.77
Na  0.1351  0.6351  0.5000  6 K 3.58-3.78, 1 Na 3.87
Na  0.3649  0.1351  0.5000  6 K 3.58-3.78, 1 Na 3.87
Na  0.6351  0.8649  0.5000  6 K 3.58-3.78, 1 Na 3.87
Na  0.8649  0.3649  0.5000  6 K 3.58-3.78, 1 Na 3.87
Cr  0.0000  0.0000  0.0000  4 K 3.77
Cr  0.5000  0.5000  0.0000  4 K 3.77

Calculated values
**N(E_F)**: 0.53 states/eV/atom
**Energy of formation**: 64.3 kJ per mole of atoms
**Calculated total energy**: -2.225 eV per atom
**Calculated density**: 1.299 g/cm³

2.
Density functional theory data (GGA-PBE) for a geometry-optimized Ac2PaN4 structure.

a b c (Å): 6.3045 10.7901 3.7078
angles (deg): 90.00 90.00 90.00
With the nearest neighbours (Å) after each atom.
Atoms (fractional coordinates):
Ac  0.0550  0.1758  0.0000  6 N 2.56-2.72
Ac  0.4450  0.6758  0.0000  6 N 2.56-2.72
Ac  0.5550  0.3242  0.0000  6 N 2.56-2.72
Ac  0.9450  0.8242  0.0000  6 N 2.56-2.72
Pa  0.0000  0.5000  0.5000  6 N 2.20-2.36
Pa  0.5000  0.0000  0.5000  6 N 2.20-2.36
N  0.1431  0.6863  0.5000  1 Pa 2.20
N  0.2223  0.4596  0.0000  2 Pa 2.36, 1 Ac 2.56
N  0.2777  0.9596  0.0000  2 Pa 2.36, 1 Ac 2.56
N  0.3569  0.1863  0.5000  1 Pa 2.20
N  0.6431  0.8137  0.5000  1 Pa 2.20
N  0.7223  0.0404  0.0000  2 Pa 2.36, 1 Ac 2.56
N  0.7777  0.5404  0.0000  2 Pa 2.36, 1 Ac 2.56
N  0.8569  0.3137  0.5000  1 Pa 2.20

Calculated values
**N(E_F)**: 0.90 states/eV/atom
**Calculated total energy**: -8.534 eV per atom
**Calculated density**: 9.758 g/cm³

3.
Density functional theory data (GGA-PBE) for a geometry-optimized SrCaC structure.

a b c (Å): 3.7109 6.7671 7.6055
angles (deg): 83.40 76.09 89.80
With the nearest neighbours (Å) after each atom.
Atoms (fractional coordinates):
Sr  0.0000  0.0000  0.0000  2 C 2.81-2.82
Sr  0.3302  0.4529  0.3287  2 C 2.82-2.83
Ca  0.0896  0.4941  0.8085  4 C 2.72-2.77
Ca  0.7271  0.9453  0.5322  2 C 2.61
C  0.6140  0.2096  0.7632  1 C 1.31
C  0.6948  0.3145  0.6030  1 C 1.31

Calculated values
**N(E_F)**: 0.76 states/eV/atom
**Energy of formation**: 8.8 kJ per mole of atoms
**Calculated total energy**: -4.211 eV per atom
**Calculated density**: 2.520 g/cm³

4.
Density functional theory data (GGA-PBE) for a geometry-optimized CaMg2Al6 structure.

a b c (Å): 8.2951 8.2951 3.1855
angles (deg): 100.76 100.76 57.33
With the nearest neighbours (Å) after each atom.
Atoms (fractional coordinates):
Ca  0.0000  0.0000  0.0000  12 Al 3.08-3.32, 2 Ca 3.19
Mg  0.3560  0.3560  0.8578  10 Al 2.90-3.06, 2 Mg 3.19
Mg  0.6440  0.6440  0.1422  10 Al 2.90-3.06, 2 Mg 3.19
Al  0.9998  0.3572  0.6782  4 Al 2.81-2.84, 3 Mg 2.90-3.06
Al  0.0002  0.6428  0.3218  4 Al 2.81-2.84, 3 Mg 2.90-3.06
Al  0.3312  0.6688  0.5000  3 Al 2.69-2.81, 4 Mg 2.92-2.93
Al  0.3572  0.9998  0.6782  4 Al 2.81-2.84, 3 Mg 2.90-3.06
Al  0.6428  0.0002  0.3218  4 Al 2.81-2.84, 3 Mg 2.90-3.06
Al  0.6688  0.3312  0.5000  3 Al 2.69-2.81, 4 Mg 2.92-2.93

Calculated values
**N(E_F)**: 0.36 states/eV/atom
**Energy of formation**: -2.8 kJ per mole of atoms
**Calculated total energy**: -3.101 eV per atom
**Calculated density**: 2.308 g/cm³

5.
Density functional theory data (GGA-PBE) for a geometry-optimized ScPaZnPd structure.

a b c (Å): 6.9017 6.9017 6.9017
angles (deg): 90.00 90.00 90.00
With the nearest neighbours (Å) after each atom.
Atoms (fractional coordinates):
Sc  0.0000  0.0000  0.0000  4 Zn 2.99, 4 Pd 2.99
Sc  0.0000  0.5000  0.5000  4 Zn 2.99, 4 Pd 2.99
Sc  0.5000  0.0000  0.5000  4 Zn 2.99, 4 Pd 2.99
Sc  0.5000  0.5000  0.0000  4 Zn 2.99, 4 Pd 2.99
Pa  0.0000  0.0000  0.5000  4 Pd 2.99, 4 Zn 2.99
Pa  0.0000  0.5000  0.0000  4 Pd 2.99, 4 Zn 2.99
Pa  0.5000  0.0000  0.0000  4 Pd 2.99, 4 Zn 2.99
Pa  0.5000  0.5000  0.5000  4 Pd 2.99, 4 Zn 2.99
Zn  0.2500  0.2500  0.2500  4 Pa 2.99, 4 Sc 2.99
Zn  0.2500  0.7500  0.7500  4 Pa 2.99, 4 Sc 2.99
Zn  0.7500  0.2500  0.7500  4 Pa 2.99, 4 Sc 2.99
Zn  0.7500  0.7500  0.2500  4 Pa 2.99, 4 Sc 2.99
Pd  0.2500  0.2500  0.7500  4 Pa 2.99, 4 Sc 2.99
Pd  0.2500  0.7500  0.2500  4 Pa 2.99, 4 Sc 2.99
Pd  0.7500  0.2500  0.2500  4 Pa 2.99, 4 Sc 2.99
Pd  0.7500  0.7500  0.7500  4 Pa 2.99, 4 Sc 2.99

Calculated values
**N(E_F)**: 1.22 states/eV/atom
**Energy of formation**: -26.2 kJ per mole of atoms
**Calculated total energy**: -5.845 eV per atom
**Calculated density**: 9.048 g/cm³

6.
Density functional theory data (GGA-PBE) for a geometry-optimized InAu4 structure.

a b c (Å): 3.9048 3.9048 13.9439
angles (deg): 90.00 90.00 90.00
With the nearest neighbours (Å) after each atom.
Atoms (fractional coordinates):
In  0.0000  0.0000  0.0000  8 Au 3.08
In  0.5000  0.5000  0.5000  8 Au 3.08
Au  0.0000  0.0000  0.4027  5 Au 2.71-2.89
Au  0.0000  0.0000  0.5973  5 Au 2.71-2.89
Au  0.0000  0.5000  0.2500  8 Au 2.76-2.89
Au  0.0000  0.5000  0.7500  8 Au 2.76-2.89
Au  0.5000  0.0000  0.2500  8 Au 2.76-2.89
Au  0.5000  0.0000  0.7500  8 Au 2.76-2.89
Au  0.5000  0.5000  0.0973  5 Au 2.71-2.89
Au  0.5000  0.5000  0.9027  5 Au 2.71-2.89

Calculated values
**N(E_F)**: 0.26 states/eV/atom
**Energy of formation**: -1.0 kJ per mole of atoms
**Calculated total energy**: -3.180 eV per atom
**Calculated density**: 14.100 g/cm³

7.
Density functional theory data (GGA-PBE) for a geometry-optimized TaCrRe structure.

a b c (Å): 5.8872 5.8872 5.8872
angles (deg): 90.00 90.00 90.00
With the nearest neighbours (Å) after each atom.
Atoms (fractional coordinates):
Ta  0.0000  0.0000  0.0000  4 Cr 2.55
Ta  0.0000  0.5000  0.5000  4 Cr 2.55
Ta  0.5000  0.0000  0.5000  4 Cr 2.55
Ta  0.5000  0.5000  0.0000  4 Cr 2.55
Cr  0.2500  0.2500  0.2500  4 Re 2.55, 4 Ta 2.55
Cr  0.2500  0.7500  0.7500  4 Ta 2.55, 4 Re 2.55
Cr  0.7500  0.2500  0.7500  4 Ta 2.55, 4 Re 2.55
Cr  0.7500  0.7500  0.2500  4 Re 2.55, 4 Ta 2.55
Re  0.0000  0.0000  0.5000  4 Cr 2.55
Re  0.0000  0.5000  0.0000  4 Cr 2.55
Re  0.5000  0.0000  0.0000  4 Cr 2.55
Re  0.5000  0.5000  0.5000  4 Cr 2.55

Calculated values
**N(E_F)**: 1.37 states/eV/atom
**Energy of formation**: 53.3 kJ per mole of atoms
**Calculated total energy**: -10.755 eV per atom
**Calculated density**: 13.645 g/cm³

8.
Density functional theory data (GGA-PBE) for a geometry-optimized PuPa3S6 structure.

a b c (Å): 10.8925 3.8931 11.2797
angles (deg): 90.00 106.60 90.00
With the nearest neighbours (Å) after each atom.
Atoms (fractional coordinates):
Pu  0.0472  0.2500  0.1933  8 S 2.88-2.97
Pu  0.9528  0.7500  0.8067  8 S 2.88-2.97
Pa  0.1481  0.2500  0.5734  6 S 2.70-2.74
Pa  0.3137  0.7500  0.9983  7 S 2.76-2.87
Pa  0.4221  0.2500  0.3371  6 S 2.72-2.76
Pa  0.5779  0.7500  0.6629  6 S 2.72-2.76
Pa  0.6863  0.2500  0.0017  7 S 2.76-2.87
Pa  0.8519  0.7500  0.4266  6 S 2.70-2.74
S  0.0887  0.7500  0.3945  3 Pa 2.71-2.74, 2 Pu 2.93, 1 S 2.99
S  0.1207  0.2500  0.9596  2 Pa 2.81, 3 Pu 2.88-2.97
S  0.1961  0.7500  0.7471  3 Pa 2.70-2.76, 1 Pu 2.91
S  0.2536  0.7500  0.2228  3 Pa 2.73-2.79, 2 Pu 2.92, 1 S 2.99
S  0.3991  0.2500  0.5748  4 Pa 2.73-2.76
S  0.4869  0.2500  0.1217  4 Pa 2.72-2.87
S  0.5131  0.7500  0.8783  4 Pa 2.72-2.87
S  0.6009  0.7500  0.4252  4 Pa 2.73-2.76
S  0.7464  0.2500  0.7772  3 Pa 2.73-2.79, 2 Pu 2.92, 1 S 2.99
S  0.8039  0.2500  0.2529  3 Pa 2.70-2.76, 1 Pu 2.91
S  0.8793  0.7500  0.0404  2 Pa 2.81, 3 Pu 2.88-2.97
S  0.9113  0.2500  0.6055  3 Pa 2.71-2.74, 2 Pu 2.93, 1 S 2.99

Calculated values
**N(E_F)**: 2.10 states/eV/atom
**Calculated total energy**: -8.343 eV per atom
**Calculated density**: 8.183 g/cm³